# BaCrF5 (PBE with a Hubbard U, relaxed)
data_BaCrF5
_symmetry_space_group_name_H-M 'P 1'
_symmetry_Int_Tables_number 1
_cell_length_a 6.065
_cell_length_b 6.065
_cell_length_c 8.310
_cell_angle_alpha 95.80
_cell_angle_beta 114.08
_cell_angle_gamma 107.61
loop_
_symmetry_equiv_pos_as_xyz
'x,y,z'
loop_
_atom_site_label
_atom_site_type_symbol
_atom_site_fract_x
_atom_site_fract_y
_atom_site_fract_z
_atom_site_occupancy
F1 F 0.227 0.284 0.974 1
F2 F 0.873 0.191 0.109 1
F3 F 0.418 0.236 0.609 1
F4 F 0.189 0.746 0.474 1
F5 F 0.582 0.764 0.391 1
F6 F 0.773 0.716 0.026 1
F7 F 0.695 0.945 0.750 1
F8 F 0.811 0.254 0.526 1
F9 F 0.127 0.809 0.891 1
F10 F 0.305 0.055 0.250 1
Ba1 Ba 0.703 0.453 0.250 1
Ba2 Ba 0.297 0.547 0.750 1
Cr1 Cr 0.500 0.000 0.500 1
Cr2 Cr 0.000 0.000 0.000 1
# **ρ**: 3.67 g cm⁻³
# **Relative energy among the computed polymorphs**: 0.046 eV/atom
# **Space group**: No. 15